1.
## LaBe2Re (PBE)

Data for a relaxed LaBe2Re crystal.

Its crystal system is cubic. The value obtained for the formation energy from the elements is 0.565 eV per atom. As for the total magnetic moment: 0.0 μB per cell. Its relative energy among the computed polymorphs is 0.495 eV per atom.

The structure belongs to space group Fm-3m (No. 225); the cell edges are 6.3794, 6.3794 and 6.3794 Å and the angles 90.00°, 90.00° and 90.00°. Symmetry generates all atoms from La at (0.0000, 0.0000, 0.0000), Be at (0.2500, 0.2500, 0.2500) and Re at (0.0000, 0.0000, 0.5000).

---

2.
## LaBe2Re (PBE)

Data for a relaxed LaBe2Re crystal.

Its crystal system is monoclinic. The value obtained for the formation energy from the elements is 0.070 eV per atom. As for the total magnetic moment: 0.0 μB per cell. Its relative energy among the computed polymorphs is 0.000 eV per atom.

The structure belongs to space group C2/m (No. 12); the cell edges are 7.9136, 3.5452 and 5.1977 Å and the angles 90.00°, 107.73° and 90.00°. Symmetry generates all atoms from La at (0.0000, 0.0000, 0.0000), Be at (0.2093, 0.0000, 0.5717) and Re at (0.0000, 0.5000, 0.5000).

---

3.
## LaBeRe (PBE)

Data for a relaxed LaBeRe crystal.

Its crystal system is hexagonal. The value obtained for the formation energy from the elements is 0.354 eV per atom. As for the total magnetic moment: 0.0 μB per cell. Its relative energy among the computed polymorphs is 0.124 eV per atom.

The structure belongs to space group P-6m2 (No. 187); the cell edges are 4.0356, 4.0356 and 4.2260 Å and the angles 90.00°, 90.00° and 120.00°. Symmetry generates all atoms from La at (0.0000, 0.0000, 0.0000), Be at (0.3333, 0.6667, 0.5000) and Re at (0.6667, 0.3333, 0.5000).

---

4.
## LaBe2Re (PBE)

Data for a relaxed LaBe2Re crystal.

Its crystal system is tetragonal. The value obtained for the formation energy from the elements is 0.661 eV per atom. As for the total magnetic moment: 0.0 μB per cell. Its relative energy among the computed polymorphs is 0.591 eV per atom.

The structure belongs to space group P4/mmm (No. 123); the cell edges are 4.7538, 4.7538 and 2.7364 Å and the angles 90.00°, 90.00° and 90.00°. Symmetry generates all atoms from La at (0.0000, 0.0000, 0.0000), Be at (0.0000, 0.5000, 0.5000) and Re at (0.5000, 0.5000, 0.0000).

---

5.
## LaBe2Re (PBE)

Data for a relaxed LaBe2Re crystal.

Its crystal system is monoclinic. The value obtained for the formation energy from the elements is 0.631 eV per atom. As for the total magnetic moment: 0.0 μB per cell. Its relative energy among the computed polymorphs is 0.561 eV per atom.

The structure belongs to space group C2/m (No. 12); the cell edges are 5.4125, 7.4321 and 3.0932 Å and the angles 90.00°, 95.95° and 90.00°. Symmetry generates all atoms from La at (0.0000, 0.0000, 0.0000), Be at (0.2500, 0.2500, 0.5000) and Re at (0.0000, 0.5000, 0.0000).

---

6.
## LaBe2Re (PBE)

Data for a relaxed LaBe2Re crystal.

Its crystal system is trigonal. The value obtained for the formation energy from the elements is 0.151 eV per atom. As for the total magnetic moment: 0.0 μB per cell. Its relative energy among the computed polymorphs is 0.080 eV per atom.

The structure belongs to space group R-3m (No. 166, hexagonal axes); the cell edges are 3.9931, 3.9931 and 15.2160 Å and the angles 90.00°, 90.00° and 120.00°. Symmetry generates all atoms from La at (0.0000, 0.0000, 0.0000), Be at (0.0000, 0.0000, 0.1922) and Re at (0.0000, 0.0000, 0.5000).

---

7.
## LaBe2Re (PBE)

Data for a relaxed LaBe2Re crystal.

Its crystal system is tetragonal. The value obtained for the formation energy from the elements is 0.469 eV per atom. As for the total magnetic moment: 0.0 μB per cell. Its relative energy among the computed polymorphs is 0.399 eV per atom.

The structure belongs to space group I4/mmm (No. 139); the cell edges are 4.1130, 4.1130 and 7.4380 Å and the angles 90.00°, 90.00° and 90.00°. Symmetry generates all atoms from La at (0.0000, 0.0000, 0.0000), Be at (0.0000, 0.5000, 0.2500) and Re at (0.0000, 0.0000, 0.5000).

---

8.
## LaBe2Re (PBE)

Data for a relaxed LaBe2Re crystal.

Its crystal system is tetragonal. The value obtained for the formation energy from the elements is 0.825 eV per atom. As for the total magnetic moment: 0.0 μB per cell. Its relative energy among the computed polymorphs is 0.755 eV per atom.

The structure belongs to space group P4/mmm (No. 123); the cell edges are 3.9893, 3.9893 and 4.1994 Å and the angles 90.00°, 90.00° and 90.00°. Symmetry generates all atoms from La at (0.0000, 0.0000, 0.0000), Be at (0.0000, 0.5000, 0.5000) and Re at (0.5000, 0.5000, 0.0000).

---

9.
## La2BeRe (PBE)

Data for a relaxed La2BeRe crystal.

Its crystal system is monoclinic. The value obtained for the formation energy from the elements is 0.153 eV per atom. As for the total magnetic moment: 0.0 μB per cell.

The structure belongs to space group Pm (No. 6); the cell edges are 4.3003, 4.0719 and 5.9791 Å and the angles 90.00°, 111.06° and 90.00°. Symmetry generates all atoms from La at (0.0000, 0.0000, 0.0000), La at (0.2779, 0.5000, 0.5529), Be at (0.5896, 0.5000, 0.1779) and Re at (0.6925, 0.0000, 0.3821).

---

10.
## La2BeRe (PBE)

Data for a relaxed La2BeRe crystal.

Its crystal system is trigonal. The value obtained for the formation energy from the elements is 0.754 eV per atom. As for the total magnetic moment: 0.0 μB per cell.

The structure belongs to space group R-3m (No. 166, hexagonal axes); the cell edges are 3.5878, 3.5878 and 26.6973 Å and the angles 90.00°, 90.00° and 120.00°. Symmetry generates all atoms from La at (0.0000, 0.0000, 0.2474), Be at (0.0000, 0.0000, 0.0000) and Re at (0.0000, 0.0000, 0.5000).

---

11.
## LaBeRe (PBE)

Data for a relaxed LaBeRe crystal.

Its crystal system is cubic. The value obtained for the formation energy from the elements is 0.767 eV per atom. As for the total magnetic moment: 0.0 μB per cell. Its relative energy among the computed polymorphs is 0.537 eV per atom.

The structure belongs to space group F-43m (No. 216); the cell edges are 6.2301, 6.2301 and 6.2301 Å and the angles 90.00°, 90.00° and 90.00°. Symmetry generates all atoms from La at (0.0000, 0.0000, 0.0000), Be at (0.0000, 0.0000, 0.5000) and Re at (0.2500, 0.2500, 0.2500).

---

12.
## LaBeRe (PBE)

Data for a relaxed LaBeRe crystal.

Its crystal system is cubic. The value obtained for the formation energy from the elements is 0.732 eV per atom. As for the total magnetic moment: 2.2 μB per cell. Its relative energy among the computed polymorphs is 0.502 eV per atom.

The structure belongs to space group F-43m (No. 216); the cell edges are 6.1821, 6.1821 and 6.1821 Å and the angles 90.00°, 90.00° and 90.00°. Symmetry generates all atoms from La at (0.0000, 0.0000, 0.0000), Be at (0.2500, 0.2500, 0.7500) and Re at (0.0000, 0.0000, 0.5000).